Sm6CdRh | PBE-GGA | optimized geometry

The formation energy comes out at -43 meV/atom. Its mass density is 6.79 g/cm3.

The structure belongs to space group P-1 (No. 2); the cell edges are 6.9652, 7.0101 and 7.5637 Å and the angles 90.45°, 116.84° and 119.65°. Symmetry generates all atoms from Sm at (0.0387, 0.0806, 0.2523), Sm at (0.2917, 0.7119, 0.2504), Sm at (0.3233, 0.5387, 0.7495), Cd at (0.5000, 0.0000, 0.0000) and Rh at (0.5000, 0.5000, 0.5000).